# 1
Compound: SrY3Ru
Source: Alexandria via LeMat-Bulk
Functional: GGA-PBE
Structure: optimized geometry

Cell: 4.4677 4.4677 9.8883 Å, 90.00 90.00 90.00°
Last column: magnetic moment on the atom in μB.
Element x y z (fractional)
Y  0.0000  0.0000  0.1283  0.27
Y  0.5000  0.0000  0.4155  0.02
Y  0.0000  0.5000  0.4155  0.02
Ru  0.5000  0.5000  0.5840  0.06
Sr  0.0000  0.0000  0.7204  0.00

total magnetization = 0.80 Bohr magnetons per cell
calculated density = 3.8 Mg/m³
polymorph energy (0 for the lowest one) = 588 meV/atom

# 2
Compound: BSb2IBr
Source: Alexandria via LeMat-Bulk
Functional: GGA-PBE
Structure: optimized geometry

Cell: 4.9986 4.9986 5.0981 Å, 90.00 90.00 90.00°
Element x y z (fractional)
I  0.0000  0.0000  0.5000
Sb  0.0000  0.5000  0.0000
Sb  0.5000  0.0000  0.0000
B  0.0000  0.0000  0.0000
Br  0.5000  0.5000  0.5000

formation energy without anion corrections = 3.56 eV/f.u.
total magnetization = 0.00 Bohr magnetons per cell
calculated density = 6.0 Mg/m³
polymorph energy (0 for the lowest one) = 0 meV/atom

# 3
Compound: BaMnAl2
Source: Alexandria via LeMat-Bulk
Functional: GGA-PBE
Structure: optimized geometry

Cell: 4.2686 3.2449 7.0294 Å, 89.69 90.00 90.00°
Last column: magnetic moment on the atom in μB.
Element x y z (fractional)
Mn  0.5000  0.6281  0.8938  3.34
Ba  0.0000  0.6211  0.4793  0.00
Al  0.0000  0.1262  0.9446  -0.04
Al  0.5000  0.1247  0.1823  -0.02

total magnetization = 3.38 Bohr magnetons per cell
calculated density = 4.2 Mg/m³
E = -18.1 eV/cell